No. 1
{
  "formula": "Tl2Ge2B",
  "functional": "PBE",
  "state": "optimized geometry",
  "lattice": [[-2.087, -4.569, -0.145], [2.040, -0.788, -4.525], [3.571, -1.691, 1.905]],
  "species": ["Tl", "Tl", "Ge", "Ge", "B"],
  "fractional_positions": [[0.500, 0.000, 0.000], [0.000, 0.500, 0.000], [0.000, 0.000, 0.500], [0.500, 0.500, 0.500], [0.000, 0.000, 0.000]],
  "mass_density_g_cm3": 8.5,
  "de_polymorph_mev_per_atom": 0,
  "n_ef_per_ev_fu": 2.22,
  "e_tot_ha_per_atom": -0.124,
  "space_group": "P4/mmm, No. 123",
  "e_form_mev_per_atom": 762
}



No. 2
{
  "formula": "ErLuAlPb",
  "functional": "PBE",
  "state": "optimized geometry",
  "lattice": [[5.234, 0.000, 0.000], [2.617, 4.533, 0.000], [2.617, 1.511, 4.274]],
  "species": ["Al", "Lu", "Er", "Pb"],
  "fractional_positions": [[0.750, 0.750, 0.750], [0.500, 0.500, 0.500], [0.000, 0.000, 0.000], [0.250, 0.250, 0.250]],
  "mass_density_g_cm3": 9.4,
  "n_ef_per_ev_fu": 3.40,
  "e_tot_ha_per_atom": -0.162,
  "space_group": "F-43m, No. 216",
  "e_form_mev_per_atom": -280
}



No. 3
{
  "formula": "TaAsPb2",
  "functional": "PBE",
  "state": "optimized geometry",
  "lattice": [[-2.424, -1.862, -0.948], [2.699, -1.719, 0.045], [-1.833, -2.620, 9.827]],
  "species": ["Pb", "Pb", "As", "Ta"],
  "fractional_positions": [[0.000, 0.000, 0.984], [0.500, 0.500, 0.291], [0.500, 0.500, 0.699], [0.000, 0.000, 0.526]],
  "mass_density_g_cm3": 11.1,
  "n_ef_per_ev_fu": 2.81,
  "e_tot_ha_per_atom": -0.213,
  "space_group": "Cmm2, No. 35",
  "e_form_mev_per_atom": 186
}



No. 4
{
  "formula": "Zn3NiAu",
  "functional": "PBE",
  "state": "optimized geometry",
  "lattice": [[4.520, 0.000, 0.000], [0.000, 4.520, 0.000], [0.000, 0.000, 4.520]],
  "species": ["Au", "Zn", "Zn", "Zn", "Ni"],
  "fractional_positions": [[0.500, 0.500, 0.500], [0.500, 0.000, 0.000], [0.000, 0.500, 0.000], [0.000, 0.000, 0.500], [0.000, 0.000, 0.000]],
  "mass_density_g_cm3": 8.1,
  "de_polymorph_mev_per_atom": 417,
  "n_ef_per_ev_fu": 2.07,
  "e_tot_ha_per_atom": -0.085,
  "space_group": "Pm-3m, No. 221",
  "e_form_mev_per_atom": 260
}



No. 5
{
  "formula": "ReRu",
  "functional": "PBE",
  "state": "optimized geometry",
  "lattice": [[9.177, 0.000, 0.000], [0.000, 7.517, 0.000], [0.000, 0.000, 7.419]],
  "species": ["Ru", "Ru", "Ru", "Ru", "Ru", "Ru", "Ru", "Ru", "Ru", "Ru", "Ru", "Ru", "Ru", "Ru", "Ru", "Ru", "Re", "Re", "Re", "Re", "Re", "Re", "Re", "Re", "Re", "Re", "Re", "Re", "Re", "Re", "Re", "Re"],
  "fractional_positions": [[0.250, 0.417, 0.750], [0.250, 0.917, 0.250], [0.750, 0.583, 0.750], [0.000, 0.333, 0.500], [0.250, 0.083, 0.750], [0.750, 0.417, 0.250], [0.500, 0.333, 0.000], [0.500, 0.167, 0.500], [0.500, 0.833, 0.500], [0.000, 0.667, 0.500], [0.000, 0.833, 0.000], [0.250, 0.583, 0.250], [0.000, 0.167, 0.000], [0.750, 0.917, 0.750], [0.500, 0.667, 0.000], [0.750, 0.083, 0.250], [0.500, 0.500, 0.666], [0.000, 0.500, 0.166], [0.750, 0.750, 0.084], [0.500, 0.500, 0.334], [0.500, 0.000, 0.166], [0.000, 0.000, 0.666], [0.750, 0.250, 0.916], [0.750, 0.250, 0.584], [0.250, 0.750, 0.584], [0.250, 0.750, 0.916], [0.000, 0.000, 0.334], [0.750, 0.750, 0.416], [0.000, 0.500, 0.834], [0.500, 0.000, 0.834], [0.250, 0.250, 0.416], [0.250, 0.250, 0.084]],
  "mass_density_g_cm3": 14.9,
  "n_ef_per_ev_fu": 2.55,
  "e_tot_ha_per_atom": -0.369,
  "space_group": "Fddd, No. 70",
  "e_form_mev_per_atom": 830
}



No. 6
{
  "formula": "La2DyAgC",
  "functional": "PBE",
  "state": "optimized geometry",
  "lattice": [[-0.872, 5.116, -0.676], [-3.802, -1.100, -3.423], [-3.244, -0.074, 3.627]],
  "species": ["La", "La", "C", "Ag", "Dy"],
  "fractional_positions": [[0.000, 0.500, 0.995], [0.500, 0.000, 0.996], [0.000, 0.000, 0.013], [0.500, 0.500, 0.501], [0.000, 0.000, 0.496]],
  "mass_density_g_cm3": 7.0,
  "n_ef_per_ev_fu": 5.16,
  "e_tot_ha_per_atom": -0.199,
  "space_group": "P4mm, No. 99",
  "e_form_mev_per_atom": -104
}



No. 7
{
  "formula": "PaZn2Re",
  "functional": "PBE",
  "state": "optimized geometry",
  "lattice": [[-3.415, 3.121, -0.399], [-2.834, -0.117, -3.676], [-4.422, -1.319, 0.519]],
  "species": ["Zn", "Zn", "Pa", "Re"],
  "fractional_positions": [[0.750, 0.750, 0.750], [0.250, 0.250, 0.250], [0.000, 0.000, 0.000], [0.500, 0.500, 0.500]],
  "mass_density_g_cm3": 12.9,
  "de_polymorph_mev_per_atom": 308,
  "n_ef_per_ev_fu": 5.10,
  "e_tot_ha_per_atom": -0.217,
  "space_group": "Fm-3m, No. 225",
  "e_form_mev_per_atom": 229
}



No. 8
{
  "formula": "BeFe2H",
  "functional": "PBE",
  "state": "optimized geometry",
  "lattice": [[-2.298, -2.054, -1.932], [-2.608, 1.570, -1.991], [0.211, -0.041, -3.631]],
  "species": ["Be", "Fe", "Fe", "H"],
  "fractional_positions": [[0.500, 0.500, 0.500], [0.750, 0.750, 0.750], [0.250, 0.250, 0.250], [0.000, 0.000, 0.000]],
  "mass_density_g_cm3": 5.9,
  "de_polymorph_mev_per_atom": 359,
  "n_ef_per_ev_fu": 1.98,
  "e_tot_ha_per_atom": -0.208,
  "space_group": "Fm-3m, No. 225"
}



No. 9
{
  "formula": "Ca2Hf4C",
  "functional": "PBE",
  "state": "optimized geometry",
  "lattice": [[-2.154, -0.318, 3.999], [3.907, -1.198, 2.009], [2.623, 7.637, 4.612]],
  "species": ["Ca", "Ca", "Hf", "Hf", "Hf", "Hf", "C"],
  "fractional_positions": [[0.668, 0.668, 0.664], [0.332, 0.332, 0.336], [0.500, 0.000, 0.000], [0.879, 0.879, 0.242], [0.000, 0.500, 0.000], [0.121, 0.121, 0.758], [0.000, 0.000, 0.000]],
  "mass_density_g_cm3": 7.4,
  "n_ef_per_ev_fu": 5.66,
  "e_tot_ha_per_atom": -0.273,
  "space_group": "I4/mmm, No. 139",
  "e_form_mev_per_atom": 154
}



No. 10
{
  "formula": "CeErPdRu",
  "functional": "PBE",
  "state": "optimized geometry",
  "lattice": [[4.909, 0.000, 0.000], [2.454, 4.251, 0.000], [2.454, 1.417, 4.008]],
  "species": ["Ru", "Pd", "Ce", "Er"],
  "fractional_positions": [[0.750, 0.750, 0.750], [0.250, 0.250, 0.250], [0.500, 0.500, 0.500], [0.000, 0.000, 0.000]],
  "mass_density_g_cm3": 10.2,
  "n_ef_per_ev_fu": 4.86,
  "e_tot_ha_per_atom": -0.250,
  "space_group": "F-43m, No. 216",
  "e_form_mev_per_atom": -562
}



No. 11
{
  "formula": "La2MgRu",
  "functional": "PBE",
  "state": "optimized geometry",
  "lattice": [[-0.342, 1.364, 3.213], [-0.795, -3.178, 1.252], [8.773, -1.565, 1.598]],
  "species": ["Ru", "La", "La", "Mg"],
  "fractional_positions": [[0.500, 0.500, 0.750], [0.000, 0.000, 0.556], [0.000, 0.000, 0.944], [0.500, 0.500, 0.250]],
  "mass_density_g_cm3": 6.0,
  "n_ef_per_ev_fu": 4.19,
  "e_tot_ha_per_atom": -0.196,
  "space_group": "Cmmm, No. 65",
  "e_form_mev_per_atom": -156
}



No. 12
{
  "formula": "ReAuSN2",
  "functional": "PBE",
  "state": "optimized geometry",
  "lattice": [[-1.585, 3.094, 1.627], [-3.312, -1.900, 0.387], [2.048, -2.280, 6.331]],
  "species": ["Re", "Au", "N", "N", "S"],
  "fractional_positions": [[0.500, 0.500, 0.500], [0.000, 0.000, 0.000], [0.000, 0.500, 0.000], [0.500, 0.000, 0.000], [0.000, 0.000, 0.500]],
  "mass_density_g_cm3": 7.1,
  "de_polymorph_mev_per_atom": 1761,
  "n_ef_per_ev_fu": 3.27,
  "e_tot_ha_per_atom": -0.182,
  "space_group": "P4/mmm, No. 123",
  "formation_energy_uncorrected_ev_per_atom": 2.352
}